1.
Entry from Alexandria: LaDy6In3 after structural relaxation (PBE-GGA). Values from VASP.

Quantum ESPRESSO input file:
```
&SYSTEM
  ibrav = 0, nat = 20, ntyp = 3
/
ATOMIC_SPECIES
La 138.91 La.upf
Dy 162.50 Dy.upf
In 114.82 In.upf
ATOMIC_POSITIONS angstrom
La 6.4238 3.4713 3.8228
La 6.4238 -3.4713 0.0000
Dy 3.7277 2.5605 6.1675
Dy 2.5898 0.3975 3.7352
Dy 6.4238 3.6996 0.2580
Dy 2.5898 -0.3975 7.5579
Dy 6.4238 0.3310 6.8836
Dy 3.7277 -2.5605 2.3448
Dy 9.1200 2.5605 6.1675
Dy 6.4238 -0.3310 3.0608
Dy 10.2579 0.3975 3.7352
Dy 6.4238 -3.6996 4.0807
Dy 10.2579 -0.3975 7.5579
Dy 9.1200 -2.5605 2.3448
In 6.4238 6.2021 5.7694
In 4.5253 1.4533 1.4603
In 4.5253 -1.4533 5.2830
In 8.3224 1.4533 1.4603
In 8.3224 -1.4533 5.2830
In 6.4238 -6.2021 1.9467
CELL_PARAMETERS angstrom
6.4238 -6.3261 0.0000
6.4238 6.3261 0.0000
0.0000 0.0000 7.6455
```

Values from the calculation:
Total energy (eV/atom): -4.249

---

2.
Entry from Alexandria: La12DyIn3 after structural relaxation (PBE-GGA). Values from VASP.

Quantum ESPRESSO input file:
```
&SYSTEM
  ibrav = 0, nat = 16, ntyp = 3
/
ATOMIC_SPECIES
La 138.91 La.upf
Dy 162.50 Dy.upf
In 114.82 In.upf
ATOMIC_POSITIONS angstrom
La 0.0000 0.0000 0.0000
La 0.0000 0.0000 5.0591
La 0.0000 0.0000 10.2808
La 0.0000 0.0000 15.5026
La 0.0000 2.5424 2.5348
La 0.0000 2.5424 7.6122
La 0.0000 2.5424 12.9495
La 0.0000 2.5424 18.0269
La 2.5424 0.0000 2.5348
La 2.5424 0.0000 7.6122
La 2.5424 0.0000 12.9495
La 2.5424 0.0000 18.0269
Dy 2.5424 2.5424 10.2808
In 2.5424 2.5424 0.0000
In 2.5424 2.5424 5.0539
In 2.5424 2.5424 15.5077
CELL_PARAMETERS angstrom
5.0848 0.0000 0.0000
0.0000 5.0848 0.0000
0.0000 0.0000 20.5617
```

Values from the calculation:
Total energy (eV/atom): -4.713